Entry 1:
DFT (PBE) results for crystalline Ac4Pd2PtAu at its relaxed geometry.

Lattice parameters (Å, degrees): 7.697 4.439 7.710 90.00 109.35 90.00
Atoms (fractional coordinates):
Ac1 0.244 0.000 0.239
Ac2 0.250 0.500 0.757
Ac3 0.750 0.500 0.243
Ac4 0.756 0.000 0.761
Pd1 0.000 0.000 0.500
Pd2 0.000 0.500 0.000
Pt1 0.500 0.000 0.000
Au1 0.500 0.500 0.500

**Formation energy**: -7.157 eV/f.u.
**E**: -5.412 eV/atom

Entry 2:
DFT (PBE) results for crystalline LaAl5Os2 at its relaxed geometry.

Lattice parameters (Å, degrees): 6.530 6.530 4.015 107.57 107.57 69.69
Atoms (fractional coordinates):
La1 0.000 0.000 0.000
Al1 0.154 0.528 0.341
Al2 0.472 0.846 0.659
Al3 0.500 0.500 0.000
Al4 0.528 0.154 0.341
Al5 0.846 0.472 0.659
Os1 0.256 0.256 0.759
Os2 0.744 0.744 0.241

**Formation energy**: -3.581 eV/f.u.
**E**: -6.210 eV/atom

Entry 3:
DFT (PBE) results for crystalline HfAsBr2 at its relaxed geometry.

Lattice parameters (Å, degrees): 4.879 4.879 4.879 60.00 60.00 60.00
Atoms (fractional coordinates):
Hf1 0.000 0.000 0.000
As1 0.500 0.500 0.500
Br1 0.250 0.250 0.250
Br2 0.750 0.750 0.750

**Energy relative to the elements, uncorrected**: 110 meV/atom
**E**: -4.377 eV/atom

Entry 4:
DFT (PBE) results for crystalline Rb2NbGaBr6 at its relaxed geometry.

Lattice parameters (Å, degrees): 7.982 7.982 7.982 60.00 60.00 60.00
Atoms (fractional coordinates):
Rb1 0.250 0.250 0.250
Rb2 0.750 0.750 0.750
Nb1 0.000 0.000 0.000
Ga1 0.500 0.500 0.500
Br1 0.235 0.235 0.765
Br2 0.235 0.765 0.235
Br3 0.235 0.765 0.765
Br4 0.765 0.235 0.235
Br5 0.765 0.235 0.765
Br6 0.765 0.765 0.235

**Energy relative to the elements, uncorrected**: -1107 meV/atom
**E**: -3.614 eV/atom

Entry 5:
DFT (PBE) results for crystalline TiTeN2F at its relaxed geometry.

Lattice parameters (Å, degrees): 4.146 4.146 4.059 90.00 90.00 90.00
Atoms (fractional coordinates):
Ti1 0.000 0.000 0.000
Te1 0.500 0.500 0.000
N1 0.000 0.500 0.500
N2 0.500 0.000 0.500
F1 0.500 0.500 0.500

**Energy relative to the elements, uncorrected**: 1430 meV/atom
**E**: -4.482 eV/atom

Entry 6:
DFT (PBE) results for crystalline NbSb2Mo2 at its relaxed geometry.

Lattice parameters (Å, degrees): 7.442 7.442 3.478 90.00 90.00 90.00
Atoms (fractional coordinates):
Nb1 0.000 0.000 0.000
Nb2 0.500 0.500 0.000
Sb1 0.167 0.333 0.500
Sb2 0.333 0.833 0.500
Sb3 0.667 0.167 0.500
Sb4 0.833 0.667 0.500
Mo1 0.132 0.632 0.000
Mo2 0.368 0.132 0.000
Mo3 0.632 0.868 0.000
Mo4 0.868 0.368 0.000

**Energy relative to the elements, uncorrected**: 368 meV/atom
**E**: -7.627 eV/atom

Entry 7:
DFT (PBE) results for crystalline SnHRu3 at its relaxed geometry.

Lattice parameters (Å, degrees): 4.945 4.945 4.945 90.00 90.00 90.00
Atoms (fractional coordinates):
Sn1 0.000 0.000 0.000
H1 0.500 0.500 0.500
Ru1 0.000 0.000 0.500
Ru2 0.000 0.500 0.000
Ru3 0.500 0.000 0.000

**E**: -4.620 eV/atom

Entry 8:
DFT (PBE) results for crystalline TaHRu at its relaxed geometry.

Lattice parameters (Å, degrees): 3.076 3.076 7.533 90.00 90.00 90.00
Atoms (fractional coordinates):
Ta1 0.250 0.250 0.178
Ta2 0.750 0.750 0.822
H1 0.250 0.750 0.000
H2 0.750 0.250 0.000
Ru1 0.250 0.250 0.627
Ru2 0.750 0.750 0.373

**E**: -8.302 eV/atom

Entry 9:
DFT (PBE) results for crystalline Ni2Ag2Rh at its relaxed geometry.

Lattice parameters (Å, degrees): 6.178 6.178 3.990 90.00 90.00 90.00
Atoms (fractional coordinates):
Ni1 0.129 0.371 0.000
Ni2 0.371 0.871 0.000
Ni3 0.629 0.129 0.000
Ni4 0.871 0.629 0.000
Ag1 0.173 0.673 0.500
Ag2 0.327 0.173 0.500
Ag3 0.673 0.827 0.500
Ag4 0.827 0.327 0.500
Rh1 0.000 0.000 0.000
Rh2 0.500 0.500 0.000

**Formation energy**: 1.937 eV/f.u.
**E**: -4.536 eV/atom

Entry 10:
DFT (PBE) results for crystalline ThPaHg at its relaxed geometry.

Lattice parameters (Å, degrees): 7.901 7.901 7.901 156.02 156.02 34.17
Atoms (fractional coordinates):
Th1 0.000 0.000 0.000
Pa1 0.673 0.673 0.000
Hg1 0.332 0.332 0.000

**Formation energy**: 0.170 eV/f.u.
**E**: -5.682 eV/atom

Entry 11:
DFT (PBE) results for crystalline BeZnAg at its relaxed geometry.

Lattice parameters (Å, degrees): 5.208 5.208 5.897 105.25 105.25 31.62
Atoms (fractional coordinates):
Be1 0.168 0.168 0.042
Be2 0.832 0.832 0.958
Zn1 0.189 0.189 0.637
Zn2 0.811 0.811 0.363
Ag1 0.476 0.476 0.749
Ag2 0.524 0.524 0.251

**Formation energy**: 0.270 eV/f.u.
**E**: -2.527 eV/atom

Entry 12:
DFT (PBE) results for crystalline ZrAlSi5 at its relaxed geometry.

Lattice parameters (Å, degrees): 3.738 3.738 8.397 90.00 90.00 90.00
Atoms (fractional coordinates):
Zr1 0.000 0.000 0.000
Al1 0.000 0.000 0.500
Si1 0.000 0.500 0.270
Si2 0.000 0.500 0.730
Si3 0.500 0.000 0.270
Si4 0.500 0.000 0.730
Si5 0.500 0.500 0.000

**Energy relative to the elements, uncorrected**: 7 meV/atom
**E**: -5.622 eV/atom

Entry 13:
DFT (PBE) results for crystalline NaSr2Rh3O8 at its relaxed geometry.

Lattice parameters (Å, degrees): 6.708 6.708 6.708 57.60 57.60 57.60
Atoms (fractional coordinates):
Na1 0.000 0.000 0.000
Sr1 0.233 0.233 0.233
Sr2 0.616 0.616 0.616
Rh1 0.111 0.614 0.614
Rh2 0.614 0.111 0.614
Rh3 0.614 0.614 0.111
O1 0.362 0.362 0.799
O2 0.362 0.799 0.362
O3 0.384 0.384 0.384
O4 0.423 0.870 0.870
O5 0.799 0.362 0.362
O6 0.843 0.843 0.843
O7 0.870 0.423 0.870
O8 0.870 0.870 0.423

**Energy relative to the elements, uncorrected**: -1434 meV/atom
**E**: -6.177 eV/atom